VASP calculation (GGA-PBEsol) on Mn2ZnS4 after structural relaxation.

As for the mass density: 4.5 g cm⁻³. The final energy comes out at -6.138 eV per atom. For the uncorrected formation energy, the calculation gives -0.618 eV/atom.

It has space group Fd-3m (No. 227, origin choice 2), with a = 9.634 Å, b = 9.634 Å, c = 9.634 Å, α = 90.00°, β = 90.00° and γ = 90.00°. The asymmetric unit holds Mn at (0.000, 0.000, 0.000), Zn at (0.125, 0.125, 0.625) and S at (0.012, 0.012, 0.238).